[1]
# Sr4ScHg

A relaxed Sr4ScHg crystal (PBE-GGA, Alexandria).

Values from the calculation:
Total moment = 1.78 μB/f.u.
Theoretical density = 3.7 Mg/m³
E_form = 49.4 kJ per mole of atoms

Lattice parameters (Å, degrees): 7.215 7.215 7.215 60.00 60.00 60.00
Atoms (fractional coordinates):
1 Sr 0.877 0.374 0.374
2 Hg 0.750 0.750 0.750
3 Sc 0.000 0.000 0.000
4 Sr 0.374 0.877 0.374
5 Sr 0.374 0.374 0.374
6 Sr 0.374 0.374 0.877

=====

[2]
# ScZnGe

A relaxed ScZnGe crystal (PBE-GGA, Alexandria).

Values from the calculation:
Total moment = 0.00 μB/f.u.
Theoretical density = 5.7 Mg/m³
E_form = -47.4 kJ per mole of atoms

Lattice parameters (Å, degrees): 3.904 5.315 5.553 90.00 90.00 111.54
Atoms (fractional coordinates):
1 Zn 0.500 0.000 0.000
2 Ge 0.889 0.777 0.750
3 Ge 0.111 0.223 0.250
4 Zn 0.500 0.000 0.500
5 Sc 0.810 0.620 0.250
6 Sc 0.190 0.380 0.750

=====

[3]
# K8AuI4Cl3

A relaxed K8AuI4Cl3 crystal (PBE-GGA, Alexandria).

Values from the calculation:
ΔE_f (raw) = -1.490 eV per atom
Total moment = 0.00 μB/f.u.
Theoretical density = 2.9 Mg/m³

Lattice parameters (Å, degrees): 9.681 9.652 9.681 120.12 120.00 90.00
Atoms (fractional coordinates):
1 K 0.753 0.272 0.506
2 I 0.000 0.000 0.500
3 I 0.500 0.000 0.500
4 Cl 0.000 0.500 0.500
5 K 0.753 0.272 0.019
6 K 0.741 0.724 0.483
7 I 0.500 0.000 0.000
8 Cl 0.500 0.500 0.000
9 I 0.000 0.000 0.000
10 K 0.259 0.276 0.517
11 K 0.247 0.728 0.981
12 K 0.247 0.728 0.494
13 K 0.734 0.728 0.981
14 K 0.266 0.272 0.019
15 Cl 0.500 0.500 0.500
16 Au 0.000 0.500 0.000

=====

[4]
# CaNdDy

A relaxed CaNdDy crystal (PBE-GGA, Alexandria).

Values from the calculation:
Energy above the most stable polymorph in this dataset = 5 meV per atom
Total moment = 0.00 μB/f.u.
Theoretical density = 5.3 Mg/m³
E_form = 3.7 kJ per mole of atoms

Lattice parameters (Å, degrees): 3.617 5.625 10.867 90.00 80.39 90.00
Atoms (fractional coordinates):
1 Ca 0.383 0.915 0.508
2 Nd 0.981 0.415 0.311
3 Ca 0.792 0.415 0.691
4 Dy 0.548 0.915 0.179
5 Nd 0.194 0.915 0.888
6 Dy 0.627 0.415 0.020

=====

[5]
# K2YSe

A relaxed K2YSe crystal (PBE-GGA, Alexandria).

Values from the calculation:
ΔE_f (raw) = -0.502 eV per atom
Total moment = 0.60 μB/f.u.
Theoretical density = 2.1 Mg/m³

Lattice parameters (Å, degrees): 4.283 8.544 8.541 37.48 90.00 90.00
Atoms (fractional coordinates):
1 K 0.000 0.404 0.404
2 Se 0.500 0.250 0.250
3 K 0.000 0.096 0.096
4 Y 0.500 0.750 0.750

=====

[6]
# CuSCl3

A relaxed CuSCl3 crystal (PBE-GGA, Alexandria).

Values from the calculation:
Energy above the most stable polymorph in this dataset = 0 meV per atom
ΔE_f (raw) = 0.381 eV per atom
Total moment = 0.00 μB/f.u.
Theoretical density = 3.3 Mg/m³

Lattice parameters (Å, degrees): 4.676 4.676 4.676 90.00 90.00 90.00
Atoms (fractional coordinates):
1 Cu 0.000 0.000 0.000
2 S 0.500 0.500 0.500
3 Cl 0.500 0.000 0.000
4 Cl 0.000 0.500 0.000
5 Cl 0.000 0.000 0.500

=====

[7]
# PrLuCo

A relaxed PrLuCo crystal (PBE-GGA, Alexandria).

Values from the calculation:
Energy above the most stable polymorph in this dataset = 60 meV per atom
Total moment = 0.00 μB/f.u.
Theoretical density = 8.3 Mg/m³
E_form = 0.3 kJ per mole of atoms

Lattice parameters (Å, degrees): 4.740 4.740 4.740 60.00 60.00 60.00
Atoms (fractional coordinates):
1 Lu 0.500 0.500 0.500
2 Pr 0.000 0.000 0.000
3 Co 0.250 0.250 0.250

=====

[8]
# FeCoB2W

A relaxed FeCoB2W crystal (PBE-GGA, Alexandria).

Values from the calculation:
Total moment = 0.06 μB/f.u.
Theoretical density = 8.6 Mg/m³
E_form = 109.7 kJ per mole of atoms

Lattice parameters (Å, degrees): 3.689 4.521 3.689 90.00 90.00 90.00
Atoms (fractional coordinates):
1 Co 0.500 0.500 0.500
2 B 0.500 0.000 0.000
3 B 0.000 0.000 0.500
4 W 0.000 0.500 0.000
5 Fe 0.000 0.000 0.000

=====

[9]
# Ti5CN

A relaxed Ti5CN crystal (PBE-GGA, Alexandria).

Values from the calculation:
ΔE_f (raw) = -0.518 eV per atom
Total moment = 0.00 μB/f.u.
Theoretical density = 4.5 Mg/m³

Lattice parameters (Å, degrees): 5.264 5.264 9.094 61.53 61.53 80.37
Atoms (fractional coordinates):
1 Ti 0.009 0.991 0.750
2 N 0.000 0.000 0.000
3 N 0.000 0.000 0.500
4 Ti 0.768 0.632 0.139
5 Ti 0.232 0.368 0.861
6 Ti 0.991 0.009 0.250
7 C 0.697 0.303 0.750
8 C 0.303 0.697 0.250
9 Ti 0.368 0.232 0.361
10 Ti 0.371 0.782 0.987
11 Ti 0.632 0.768 0.639
12 Ti 0.782 0.371 0.487
13 Ti 0.629 0.218 0.013
14 Ti 0.218 0.629 0.513

=====

[10]
# TbNdCdNi

A relaxed TbNdCdNi crystal (PBE-GGA, Alexandria).

Values from the calculation:
Total moment = 0.00 μB/f.u.
Theoretical density = 8.1 Mg/m³
E_form = -20.4 kJ per mole of atoms

Lattice parameters (Å, degrees): 5.152 5.152 5.152 60.00 60.00 60.00
Atoms (fractional coordinates):
1 Cd 0.750 0.750 0.750
2 Nd 0.000 0.000 0.000
3 Ni 0.250 0.250 0.250
4 Tb 0.500 0.500 0.500

=====

[11]
# ScZnSi

A relaxed ScZnSi crystal (PBE-GGA, Alexandria).

Values from the calculation:
ΔE_f (raw) = -0.315 eV per atom
Total moment = 0.00 μB/f.u.
Theoretical density = 4.1 Mg/m³

Lattice parameters (Å, degrees): 4.302 4.302 4.302 60.00 60.00 60.00
Atoms (fractional coordinates):
1 Si 0.750 0.750 0.750
2 Zn 0.000 0.000 0.000
3 Sc 0.500 0.500 0.500

=====

[12]
# LaIn2Rh

A relaxed LaIn2Rh crystal (PBE-GGA, Alexandria).

Values from the calculation:
Total moment = 0.00 μB/f.u.
Theoretical density = 8.2 Mg/m³
E_form = -37.3 kJ per mole of atoms

Lattice parameters (Å, degrees): 4.287 4.287 5.192 90.00 90.00 90.00
Atoms (fractional coordinates):
1 Rh 0.000 0.000 0.500
2 In 0.000 0.500 0.000
3 In 0.500 0.000 0.000
4 La 0.500 0.500 0.500